A plane-wave DFT calculation with GGA-PBE was carried out for a geometry-optimized Nb4B3P structure.

```
Nb4B3P
1.0
3.3091 0.0000 0.0000
-1.6545 2.8657 0.0000
0.0000 0.0000 22.3974
Nb B P
8 6 2
Direct
0.0000 0.0000 0.1732
0.0000 0.0000 0.3268
0.0000 0.0000 0.6732
0.0000 0.0000 0.8268
0.3333 0.6667 0.0583
0.3333 0.6667 0.4417
0.6667 0.3333 0.5583
0.6667 0.3333 0.9417
0.0000 0.0000 0.0000
0.0000 0.0000 0.5000
0.3333 0.6667 0.6176
0.3333 0.6667 0.8824
0.6667 0.3333 0.1176
0.6667 0.3333 0.3824
0.3333 0.6667 0.2500
0.6667 0.3333 0.7500
```

Symmetry: P6_3/mmc
Magnetization in μB/f.u.: 0.00
Crystal system: hexagonal
Total energy in eV/cell: -142.82


A plane-wave DFT calculation with GGA-PBE was carried out for a geometry-optimized Fe2W structure.

```
Fe2W
1.0
6.0094 0.0000 0.0000
0.0000 6.0094 0.0000
0.0000 0.0000 2.7679
Fe W
4 2
Direct
0.2342 0.2342 0.0000
0.2658 0.7342 0.5000
0.7342 0.2658 0.5000
0.7658 0.7658 0.0000
0.0000 0.0000 0.5000
0.5000 0.5000 0.0000
```

Symmetry: P4_2/mnm
Magnetization in μB/f.u.: 3.72
Crystal system: tetragonal
Formation energy in meV/atom: 1356


A plane-wave DFT calculation with GGA-PBE was carried out for a geometry-optimized YBe2Ni2 structure.

```
YBe2Ni2
1.0
-1.8781 1.8781 4.6949
1.8781 -1.8781 4.6949
1.8781 1.8781 -4.6949
Y Be Ni
1 2 2
Direct
0.0000 0.0000 0.0000
0.2500 0.7500 0.5000
0.7500 0.2500 0.5000
0.3692 0.3692 0.0000
0.6308 0.6308 0.0000
```

Symmetry: I4/mmm
Magnetization in μB/f.u.: 0.00
Crystal system: tetragonal
Total energy in eV/cell: -26.63